# 1
A geometry-optimized HgBiI structure. Source: Alexandria, functional PBE-GGA.

Results
**Formation energy (no corrections)**: -0.35 eV/f.u.
**SG**: P1 (1)
**Relative energy among the computed polymorphs**: 4.8 kJ/mol of atoms

Structure (POSCAR):
```
HgBiI
1.0
5.0590 0.0000 0.0000
-0.6190 5.0724 0.0000
-0.5351 -1.9832 9.7526
Hg Bi I
2 2 2
Cartesian
0.0000 0.0000 0.0000
1.0997 2.5862 7.1321
-0.0225 0.1171 6.0783
2.9653 -0.0959 8.3531
1.1642 3.5418 1.4328
3.2396 1.6833 4.3449
```

***

# 2
A geometry-optimized Pm2MgAu structure. Source: Alexandria, functional PBE-GGA.

Results
**DFT formation energy**: -8.6 kcal/mol of atoms
**SG**: Fm-3m (225)
**Relative energy among the computed polymorphs**: 6.7 kJ/mol of atoms

Structure (POSCAR):
```
Pm2MgAu
1.0
0.0000 3.7649 3.7649
3.7649 0.0000 3.7649
3.7649 3.7649 0.0000
Pm Mg Au
2 1 1
Cartesian
1.8824 1.8824 1.8824
5.6473 5.6473 5.6473
0.0000 0.0000 0.0000
3.7649 3.7649 3.7649
```

***

# 3
A geometry-optimized TlNi2PbN structure. Source: Alexandria, functional PBE-GGA.

Results
**Formation energy (no corrections)**: 2.82 eV/f.u.
**SG**: P4/mmm (123)

Structure (POSCAR):
```
TlNi2PbN
1.0
4.0401 0.0000 0.0000
0.0000 4.0401 0.0000
0.0000 0.0000 5.2361
Tl Ni Pb N
1 2 1 1
Cartesian
0.0000 0.0000 0.0000
0.0000 2.0201 2.6180
2.0201 0.0000 2.6180
2.0201 2.0201 0.0000
2.0201 2.0201 2.6180
```

***

# 4
A geometry-optimized HfGaAg2 structure. Source: Alexandria, functional PBE-GGA.

Results
**DFT formation energy**: 2.8 kcal/mol of atoms
**SG**: I-42d (122)

Structure (POSCAR):
```
HfGaAg2
1.0
-1.9864 1.9864 9.9442
1.9864 -1.9864 9.9442
1.9864 1.9864 -9.9442
Hf Ga Ag
2 2 4
Cartesian
0.0000 0.0000 0.0000
0.0000 1.9864 4.9721
1.9864 0.0000 4.9721
0.0000 0.0000 9.9442
0.9932 -0.9602 7.4582
1.0262 0.9932 2.4861
0.9932 2.9466 -2.4861
0.9602 0.9932 12.4303
```